[1]
## Y2Cr (GGA-PBE)

Data for an optimized crystal structure of Y2Cr.

Lattice parameters (Å, degrees): 5.935 5.935 5.935 106.20 106.20 116.24
Positions (direct):
Y1 0.170 0.670 0.840
Y2 0.330 0.170 0.500
Y3 0.670 0.830 0.500
Y4 0.830 0.330 0.160
Cr1 0.250 0.250 0.000
Cr2 0.750 0.750 0.000

Properties
The calculation puts the formation energy at 0.320 eV/atom. As for the symmetry: No. 140.

=====

[2]
## ReAgN2 (GGA-PBE)

Data for an optimized crystal structure of ReAgN2.

Lattice parameters (Å, degrees): 5.907 5.907 5.907 130.35 130.35 72.86
Positions (direct):
Re1 0.000 0.000 0.000
Re2 0.750 0.250 0.500
Ag1 0.250 0.750 0.500
Ag2 0.500 0.500 0.000
N1 0.038 0.625 0.913
N2 0.375 0.288 0.413
N3 0.712 0.125 0.087
N4 0.875 0.962 0.587

Properties
The energy relative to the elements, uncorrected comes out at 0.401 eV/atom. As for the symmetry: No. 122.

=====

[3]
## ErHfAu2 (GGA-PBE)

Data for an optimized crystal structure of ErHfAu2.

Lattice parameters (Å, degrees): 4.928 4.928 4.928 60.00 60.00 60.00
Positions (direct):
Er1 0.000 0.000 0.000
Hf1 0.500 0.500 0.500
Au1 0.250 0.250 0.250
Au2 0.750 0.750 0.750

Properties
The calculation puts the formation energy at -0.583 eV/atom. As for the symmetry: No. 225.